Here is crystalline Ge2SbC at its relaxed geometry from Alexandria. Energies are from PBE.

a b c (Å): 4.697 4.697 4.697
angles (deg): 60.00 60.00 60.00
Positions (direct):
Sb  0.500  0.500  0.500
Ge  0.250  0.250  0.250
Ge  0.750  0.750  0.750
C  0.000  0.000  0.000

Volume: 73 Å³ per cell
Size of the total moment: 0.00 μB per formula unit
N(E_F): 0.505 states/eV/atom
Total DFT energy (no corrections): -4.139 eV per atom
Distance to the lowest polymorph of the same formula: 0.882 eV/atom
Energy relative to the elements, uncorrected: 1.51 eV/atom



Here is crystalline Ge3SbC at its relaxed geometry from Alexandria. Energies are from PBE.

a b c (Å): 4.520 4.520 4.520
angles (deg): 90.00 90.00 90.00
Positions (direct):
Sb  0.500  0.500  0.500
Ge  0.000  0.500  0.000
Ge  0.000  0.000  0.500
Ge  0.500  0.000  0.000
C  0.000  0.000  0.000

Volume: 92 Å³ per cell
Size of the total moment: 0.00 μB per formula unit
N(E_F): 0.684 states/eV/atom
Total DFT energy (no corrections): -4.557 eV per atom
Distance to the lowest polymorph of the same formula: 0.000 eV/atom
Energy relative to the elements, uncorrected: 0.88 eV/atom



Here is crystalline GeSbC at its relaxed geometry from Alexandria. Energies are from PBE.

a b c (Å): 3.352 5.209 8.332
angles (deg): 101.75 90.11 90.00
Positions (direct):
Sb  0.530  0.587  0.032
Sb  0.533  0.623  0.556
Ge  0.531  0.981  0.859
Ge  0.532  0.918  0.321
C  0.032  0.124  0.383
C  0.032  0.372  0.469

Volume: 142 Å³ per cell
Size of the total moment: 0.00 μB per formula unit
N(E_F): 0.225 states/eV/atom
Total DFT energy (no corrections): -5.335 eV per atom
Distance to the lowest polymorph of the same formula: 0.076 eV/atom
Energy relative to the elements, uncorrected: 0.65 eV/atom



Here is crystalline GeSb3C at its relaxed geometry from Alexandria. Energies are from PBE.

a b c (Å): 5.335 5.335 5.335
angles (deg): 90.00 90.00 90.00
Last column: magnetic moment on the atom in μB.
Positions (direct):
Sb  0.000  0.500  0.000  -0.01
Sb  0.000  0.000  0.500  -0.07
Sb  0.500  0.000  0.000  -0.06
Ge  0.000  0.000  0.000  0.01
C  0.500  0.500  0.500  0.78

Volume: 152 Å³ per cell
Size of the total moment: 1.33 μB per formula unit
N(E_F): 1.005 states/eV/atom
Total DFT energy (no corrections): -3.256 eV per atom
Distance to the lowest polymorph of the same formula: 1.011 eV/atom
Energy relative to the elements, uncorrected: 1.99 eV/atom



Here is crystalline GeSbC at its relaxed geometry from Alexandria. Energies are from PBE.

a b c (Å): 3.331 5.374 7.473
angles (deg): 81.81 77.45 89.93
Positions (direct):
Sb  0.737  0.100  0.937
Sb  0.426  0.674  0.570
Ge  0.235  0.579  0.961
Ge  0.557  0.112  0.303
C  0.023  0.284  0.372
C  0.973  0.474  0.475

Volume: 129 Å³ per cell
Size of the total moment: 0.00 μB per formula unit
N(E_F): 0.111 states/eV/atom
Total DFT energy (no corrections): -5.365 eV per atom
Distance to the lowest polymorph of the same formula: 0.046 eV/atom
Energy relative to the elements, uncorrected: 0.62 eV/atom



Here is crystalline Ge2SbC at its relaxed geometry from Alexandria. Energies are from PBE.

a b c (Å): 5.907 5.907 6.043
angles (deg): 60.74 60.74 90.00
Positions (direct):
Sb  0.000  0.000  0.000
Sb  0.750  0.250  0.500
Ge  0.527  0.125  0.250
Ge  0.223  0.625  0.250
Ge  0.375  0.473  0.750
Ge  0.875  0.777  0.750
C  0.500  0.500  0.000
C  0.250  0.750  0.500

Volume: 152 Å³ per cell
Size of the total moment: 0.00 μB per formula unit
N(E_F): 0.337 states/eV/atom
Total DFT energy (no corrections): -5.021 eV per atom
Distance to the lowest polymorph of the same formula: 0.000 eV/atom
Energy relative to the elements, uncorrected: 0.62 eV/atom



Here is crystalline GeSbC at its relaxed geometry from Alexandria. Energies are from PBE.

a b c (Å): 3.495 4.219 8.433
angles (deg): 85.81 78.73 65.60
Positions (direct):
Sb  0.751  0.293  0.254
Sb  0.370  0.475  0.816
Ge  0.902  0.699  0.512
Ge  0.539  0.891  0.062
C  0.246  0.908  0.623
C  0.044  0.266  0.667

Volume: 111 Å³ per cell
Size of the total moment: 0.00 μB per formula unit
N(E_F): 0.326 states/eV/atom
Total DFT energy (no corrections): -5.352 eV per atom
Distance to the lowest polymorph of the same formula: 0.059 eV/atom
Energy relative to the elements, uncorrected: 0.64 eV/atom



Here is crystalline GeSbC at its relaxed geometry from Alexandria. Energies are from PBE.

a b c (Å): 5.237 3.463 16.150
angles (deg): 90.00 104.89 90.00
Positions (direct):
Sb  0.409  0.000  0.418
Sb  0.409  0.500  0.918
Sb  0.364  0.000  0.137
Sb  0.364  0.500  0.637
Ge  0.058  0.000  0.964
Ge  0.058  0.500  0.464
Ge  0.079  0.000  0.260
Ge  0.079  0.500  0.760
C  0.870  0.000  0.728
C  0.870  0.500  0.228
C  0.616  0.000  0.681
C  0.616  0.500  0.181

Volume: 283 Å³ per cell
Size of the total moment: 0.00 μB per formula unit
N(E_F): 0.158 states/eV/atom
Total DFT energy (no corrections): -5.340 eV per atom
Distance to the lowest polymorph of the same formula: 0.070 eV/atom
Energy relative to the elements, uncorrected: 0.65 eV/atom



Here is crystalline GeSbC at its relaxed geometry from Alexandria. Energies are from PBE.

a b c (Å): 4.307 4.119 7.615
angles (deg): 90.00 97.57 90.00
Positions (direct):
Sb  0.350  0.500  0.807
Sb  0.897  0.500  0.199
Ge  0.394  0.500  0.458
Ge  0.871  0.000  0.890
C  0.637  0.159  0.355
C  0.637  0.841  0.355

Volume: 134 Å³ per cell
Size of the total moment: 0.00 μB per formula unit
N(E_F): 0.340 states/eV/atom
Total DFT energy (no corrections): -5.359 eV per atom
Distance to the lowest polymorph of the same formula: 0.052 eV/atom
Energy relative to the elements, uncorrected: 0.63 eV/atom



Here is crystalline GeSbC at its relaxed geometry from Alexandria. Energies are from PBE.

a b c (Å): 4.135 4.775 7.409
angles (deg): 90.37 106.17 89.91
Positions (direct):
Sb  0.288  0.481  0.166
Sb  0.595  0.104  0.777
Ge  0.476  0.561  0.537
Ge  0.788  0.085  0.164
C  0.190  0.811  0.645
C  0.868  0.810  0.645

Volume: 140 Å³ per cell
Size of the total moment: 0.00 μB per formula unit
N(E_F): 0.171 states/eV/atom
Total DFT energy (no corrections): -5.393 eV per atom
Distance to the lowest polymorph of the same formula: 0.017 eV/atom
Energy relative to the elements, uncorrected: 0.59 eV/atom



Here is crystalline GeSbC at its relaxed geometry from Alexandria. Energies are from PBE.

a b c (Å): 5.423 3.327 7.223
angles (deg): 90.00 101.34 90.00
Positions (direct):
Sb  0.552  0.500  0.052
Sb  0.121  0.500  0.421
Ge  0.074  0.000  0.066
Ge  0.566  0.500  0.684
C  0.737  0.000  0.623
C  0.934  0.000  0.535

Volume: 128 Å³ per cell
Size of the total moment: 0.00 μB per formula unit
N(E_F): 0.158 states/eV/atom
Total DFT energy (no corrections): -5.331 eV per atom
Distance to the lowest polymorph of the same formula: 0.080 eV/atom
Energy relative to the elements, uncorrected: 0.66 eV/atom



Here is crystalline GeSb2C at its relaxed geometry from Alexandria. Energies are from PBE.

a b c (Å): 4.789 4.789 4.789
angles (deg): 60.00 60.00 60.00
Positions (direct):
Sb  0.250  0.250  0.250
Sb  0.750  0.750  0.750
Ge  0.500  0.500  0.500
C  0.000  0.000  0.000

Volume: 78 Å³ per cell
Size of the total moment: 0.00 μB per formula unit
N(E_F): 0.579 states/eV/atom
Total DFT energy (no corrections): -4.104 eV per atom
Distance to the lowest polymorph of the same formula: 0.559 eV/atom
Energy relative to the elements, uncorrected: 1.42 eV/atom



Here is crystalline GeSbC at its relaxed geometry from Alexandria. Energies are from PBE.

a b c (Å): 3.458 4.186 9.993
angles (deg): 83.62 80.21 65.66
Positions (direct):
Sb  0.722  0.617  0.194
Sb  0.292  0.123  0.538
Ge  0.572  0.318  0.787
Ge  0.487  0.232  0.046
C  0.006  0.533  0.704
C  0.838  0.906  0.665

Volume: 130 Å³ per cell
Size of the total moment: 0.00 μB per formula unit
N(E_F): 0.232 states/eV/atom
Total DFT energy (no corrections): -5.365 eV per atom
Distance to the lowest polymorph of the same formula: 0.046 eV/atom
Energy relative to the elements, uncorrected: 0.62 eV/atom



Here is crystalline Ge3SbC at its relaxed geometry from Alexandria. Energies are from PBE.

a b c (Å): 5.386 5.386 5.386
angles (deg): 90.00 90.00 90.00
Last column: magnetic moment on the atom in μB.
Positions (direct):
Sb  0.000  0.000  0.000  0.02
Ge  0.000  0.500  0.000  -0.06
Ge  0.000  0.000  0.500  -0.07
Ge  0.500  0.000  0.000  -0.15
C  0.500  0.500  0.500  0.83

Volume: 156 Å³ per cell
Size of the total moment: 1.10 μB per formula unit
N(E_F): 0.699 states/eV/atom
Total DFT energy (no corrections): -3.211 eV per atom
Distance to the lowest polymorph of the same formula: 1.347 eV/atom
Energy relative to the elements, uncorrected: 2.23 eV/atom



Here is crystalline GeSb2C at its relaxed geometry from Alexandria. Energies are from PBE.

a b c (Å): 6.511 6.511 6.212
angles (deg): 58.39 58.39 90.00
Positions (direct):
Sb  0.551  0.125  0.250
Sb  0.199  0.625  0.250
Sb  0.375  0.449  0.750
Sb  0.875  0.801  0.750
Ge  0.000  0.000  0.000
Ge  0.750  0.250  0.500
C  0.500  0.500  0.000
C  0.250  0.750  0.500

Volume: 177 Å³ per cell
Size of the total moment: 0.00 μB per formula unit
N(E_F): 0.324 states/eV/atom
Total DFT energy (no corrections): -4.663 eV per atom
Distance to the lowest polymorph of the same formula: 0.000 eV/atom
Energy relative to the elements, uncorrected: 0.86 eV/atom



Here is crystalline GeSb3C at its relaxed geometry from Alexandria. Energies are from PBE.

a b c (Å): 4.800 4.800 4.800
angles (deg): 90.00 90.00 90.00
Positions (direct):
Sb  0.000  0.500  0.000
Sb  0.000  0.000  0.500
Sb  0.500  0.000  0.000
Ge  0.500  0.500  0.500
C  0.000  0.000  0.000

Volume: 111 Å³ per cell
Size of the total moment: 0.00 μB per formula unit
N(E_F): 0.814 states/eV/atom
Total DFT energy (no corrections): -4.267 eV per atom
Distance to the lowest polymorph of the same formula: 0.000 eV/atom
Energy relative to the elements, uncorrected: 0.97 eV/atom



Here is crystalline GeSbC at its relaxed geometry from Alexandria. Energies are from PBE.

a b c (Å): 3.257 3.257 17.996
angles (deg): 90.00 90.00 120.00
Positions (direct):
Sb  0.000  0.000  0.720
Sb  0.333  0.667  0.387
Sb  0.667  0.333  0.054
Ge  0.000  0.000  0.886
Ge  0.333  0.667  0.552
Ge  0.667  0.333  0.219
C  0.000  0.000  0.587
C  0.333  0.667  0.253
C  0.667  0.333  0.920

Volume: 165 Å³ per cell
Size of the total moment: 0.00 μB per formula unit
N(E_F): 0.490 states/eV/atom
Total DFT energy (no corrections): -5.371 eV per atom
Distance to the lowest polymorph of the same formula: 0.040 eV/atom
Energy relative to the elements, uncorrected: 0.62 eV/atom



Here is crystalline Sm4GeSbC at its relaxed geometry from Alexandria. Energies are from PBE.

a b c (Å): 6.902 6.913 8.618
angles (deg): 90.00 113.60 90.00
Positions (direct):
Sm  0.918  0.250  0.836
Sm  0.409  0.750  0.819
Sm  0.082  0.750  0.164
Sm  0.591  0.250  0.181
Sm  0.500  0.500  0.500
Sm  0.000  0.000  0.500
Sm  0.500  0.000  0.500
Sm  0.000  0.500  0.500
Ge  0.115  0.250  0.230
Ge  0.885  0.750  0.770
Sb  0.608  0.750  0.216
Sb  0.392  0.250  0.784
C  0.245  0.750  0.490
C  0.755  0.250  0.510

Volume: 377 Å³ per cell
Size of the total moment: 0.00 μB per formula unit
N(E_F): 0.511 states/eV/atom
Total DFT energy (no corrections): -5.895 eV per atom
Energy relative to the elements, uncorrected: -0.63 eV/atom



Here is crystalline GeSb2TeC at its relaxed geometry from Alexandria. Energies are from PBE.

a b c (Å): 5.308 5.308 5.287
angles (deg): 90.00 90.00 90.00
Last column: magnetic moment on the atom in μB.
Positions (direct):
Sb  0.000  0.500  0.000  -0.07
Sb  0.500  0.000  0.000  -0.07
Ge  0.000  0.000  0.000  -0.02
Te  0.000  0.000  0.500  0.02
C  0.500  0.500  0.500  0.80

Volume: 149 Å³ per cell
Size of the total moment: 1.32 μB per formula unit
N(E_F): 1.040 states/eV/atom
Total DFT energy (no corrections): -3.108 eV per atom
Distance to the lowest polymorph of the same formula: 0.952 eV/atom
Energy relative to the elements, uncorrected: 1.94 eV/atom



Here is crystalline GeSb2TeC at its relaxed geometry from Alexandria. Energies are from PBE.

a b c (Å): 4.772 4.772 4.880
angles (deg): 90.00 90.00 90.00
Positions (direct):
Sb  0.000  0.500  0.000
Sb  0.500  0.000  0.000
Ge  0.500  0.500  0.500
Te  0.000  0.000  0.500
C  0.000  0.000  0.000

Volume: 111 Å³ per cell
Size of the total moment: 0.00 μB per formula unit
N(E_F): 0.510 states/eV/atom
Total DFT energy (no corrections): -4.060 eV per atom
Distance to the lowest polymorph of the same formula: 0.000 eV/atom
Energy relative to the elements, uncorrected: 0.99 eV/atom